1.
{
  "formula": "BaAc2HfO6",
  "functional": "PBE",
  "state": "optimized geometry",
  "n_ef_per_ev_cell": 0.0,
  "magnetic_moment_mub_per_atom": 0.00,
  "crystal_system": "trigonal",
  "e_form_raw_ev_per_atom": -3.24,
  "lattice_angstrom": [[3.131, 1.808, 5.321], [-3.131, 1.808, 5.321], [0.000, -3.615, 5.321]],
  "species": ["Ba", "Ac", "Ac", "Hf", "O", "O", "O", "O", "O", "O"],
  "fractional_positions": [[0.000, 0.000, 0.000], [0.263, 0.263, 0.263], [0.770, 0.770, 0.770], [0.478, 0.478, 0.478], [0.124, 0.636, 0.401], [0.225, 0.576, 0.816], [0.401, 0.124, 0.636], [0.576, 0.816, 0.225], [0.636, 0.401, 0.124], [0.816, 0.225, 0.576]]
}

2.
{
  "formula": "Ag2OsPb",
  "functional": "PBE",
  "state": "optimized geometry",
  "n_ef_per_ev_cell": 2.7,
  "magnetic_moment_mub_per_atom": 0.17,
  "crystal_system": "trigonal",
  "formation_energy_mev_per_atom": 696,
  "lattice_angstrom": [[1.501, 0.867, 9.950], [-1.501, 0.867, 9.950], [0.000, -1.734, 9.950]],
  "species": ["Ag", "Ag", "Os", "Pb"],
  "fractional_positions": [[0.242, 0.242, 0.242], [0.758, 0.758, 0.758], [0.500, 0.500, 0.500], [0.000, 0.000, 0.000]]
}

3.
{
  "formula": "CaPmBeGa",
  "functional": "PBE",
  "state": "optimized geometry",
  "n_ef_per_ev_cell": 1.8,
  "magnetic_moment_mub_per_atom": 0.00,
  "crystal_system": "cubic",
  "formation_energy_mev_per_atom": -120,
  "lattice_angstrom": [[0.000, 3.594, 3.594], [3.594, 0.000, 3.594], [3.594, 3.594, 0.000]],
  "species": ["Ca", "Pm", "Be", "Ga"],
  "fractional_positions": [[0.000, 0.000, 0.000], [0.500, 0.500, 0.500], [0.750, 0.750, 0.750], [0.250, 0.250, 0.250]]
}

4.
{
  "formula": "VGaTe4",
  "functional": "PBE",
  "state": "optimized geometry",
  "n_ef_per_ev_cell": 8.0,
  "magnetic_moment_mub_per_atom": 0.12,
  "crystal_system": "monoclinic",
  "e_form_raw_ev_per_atom": -0.10,
  "lattice_angstrom": [[8.897, -2.545, 0.000], [8.897, 2.545, 0.000], [-5.521, 0.000, 9.658]],
  "species": ["V", "V", "Ga", "Ga", "Te", "Te", "Te", "Te", "Te", "Te", "Te", "Te"],
  "fractional_positions": [[0.166, 0.166, 0.323], [0.834, 0.834, 0.677], [0.128, 0.128, 0.607], [0.872, 0.872, 0.393], [0.023, 0.023, 0.332], [0.090, 0.090, 0.054], [0.288, 0.288, 0.607], [0.310, 0.310, 0.274], [0.690, 0.690, 0.726], [0.712, 0.712, 0.393], [0.910, 0.910, 0.946], [0.977, 0.977, 0.668]]
}

5.
{
  "formula": "HoTm2Th2",
  "functional": "PBE",
  "state": "optimized geometry",
  "n_ef_per_ev_cell": 13.2,
  "magnetic_moment_mub_per_atom": 0.00,
  "crystal_system": "monoclinic",
  "formation_energy_mev_per_atom": 309,
  "relative_energy_kj_per_mol_atoms": 27.19,
  "lattice_angstrom": [[4.329, -5.066, 0.000], [4.329, 5.066, 0.000], [-2.953, 0.000, 7.655]],
  "species": ["Ho", "Ho", "Tm", "Tm", "Tm", "Tm", "Th", "Th", "Th", "Th"],
  "fractional_positions": [[0.226, 0.774, 0.750], [0.774, 0.226, 0.250], [0.000, 0.500, 0.000], [0.500, 0.000, 0.500], [0.500, 0.500, 0.000], [0.500, 0.500, 0.500], [0.087, 0.220, 0.646], [0.220, 0.087, 0.146], [0.780, 0.913, 0.854], [0.913, 0.780, 0.354]]
}

6.
{
  "formula": "Ac6PdRh2I2",
  "functional": "PBE",
  "state": "optimized geometry",
  "n_ef_per_ev_cell": 6.9,
  "magnetic_moment_mub_per_atom": 0.00,
  "crystal_system": "monoclinic",
  "e_form_raw_ev_per_atom": -0.85,
  "lattice_angstrom": [[3.826, -6.605, 0.000], [3.826, 6.605, 0.000], [-2.504, 0.000, 8.537]],
  "species": ["Ac", "Ac", "Ac", "Ac", "Ac", "Ac", "Pd", "Rh", "Rh", "I", "I"],
  "fractional_positions": [[0.096, 0.435, 0.812], [0.217, 0.217, 0.188], [0.435, 0.096, 0.812], [0.565, 0.904, 0.188], [0.783, 0.783, 0.812], [0.904, 0.565, 0.188], [0.500, 0.500, 0.000], [0.170, 0.830, 0.000], [0.830, 0.170, 0.000], [0.334, 0.666, 0.500], [0.666, 0.334, 0.500]]
}

7.
{
  "formula": "AgRhAu2",
  "functional": "PBE",
  "state": "optimized geometry",
  "n_ef_per_ev_cell": 3.9,
  "magnetic_moment_mub_per_atom": 0.10,
  "crystal_system": "tetragonal",
  "formation_energy_mev_per_atom": 181,
  "relative_energy_kj_per_mol_atoms": 9.61,
  "lattice_angstrom": [[3.377, 0.000, 0.000], [0.000, 3.377, 0.000], [0.000, 0.000, 6.012]],
  "species": ["Ag", "Rh", "Au", "Au"],
  "fractional_positions": [[0.000, 0.000, 0.000], [0.500, 0.500, 0.751], [0.000, 0.000, 0.518], [0.500, 0.500, 0.253]]
}

8.
{
  "formula": "AcCd10Pt2",
  "functional": "PBE",
  "state": "optimized geometry",
  "n_ef_per_ev_cell": 5.1,
  "magnetic_moment_mub_per_atom": 0.00,
  "crystal_system": "orthorhombic",
  "formation_energy_mev_per_atom": -244,
  "lattice_angstrom": [[0.000, 7.042, 7.225], [2.847, 0.000, 7.225], [2.847, 7.042, 0.000]],
  "species": ["Ac", "Cd", "Cd", "Cd", "Cd", "Cd", "Cd", "Cd", "Cd", "Cd", "Cd", "Pt", "Pt"],
  "fractional_positions": [[0.000, 0.000, 0.000], [0.000, 0.500, 0.000], [0.017, 0.651, 0.349], [0.285, 0.508, 0.492], [0.349, 0.983, 0.017], [0.492, 0.715, 0.285], [0.500, 0.000, 0.500], [0.508, 0.285, 0.715], [0.651, 0.017, 0.983], [0.715, 0.492, 0.508], [0.983, 0.349, 0.651], [0.000, 0.000, 0.500], [0.500, 0.500, 0.000]]
}

9.
{
  "formula": "AgHF2",
  "functional": "PBE",
  "state": "optimized geometry",
  "n_ef_per_ev_cell": 1.5,
  "magnetic_moment_mub_per_atom": 0.00,
  "crystal_system": "cubic",
  "relative_energy_kj_per_mol_atoms": 104.24,
  "lattice_angstrom": [[0.000, 2.775, 2.775], [2.775, 0.000, 2.775], [2.775, 2.775, 0.000]],
  "species": ["Ag", "H", "F", "F"],
  "fractional_positions": [[0.000, 0.000, 0.000], [0.500, 0.500, 0.500], [0.250, 0.250, 0.250], [0.750, 0.750, 0.750]]
}

10.
{
  "formula": "DyY5Bi5",
  "functional": "PBE",
  "state": "optimized geometry",
  "n_ef_per_ev_cell": 4.2,
  "magnetic_moment_mub_per_atom": 0.00,
  "crystal_system": "monoclinic",
  "formation_energy_mev_per_atom": -704,
  "lattice_angstrom": [[6.978, -3.139, 0.000], [6.978, 3.139, 0.000], [-2.807, 0.000, 8.398]],
  "species": ["Dy", "Y", "Y", "Y", "Y", "Y", "Bi", "Bi", "Bi", "Bi", "Bi"],
  "fractional_positions": [[0.000, 0.000, 0.000], [0.000, 0.000, 0.500], [0.335, 0.335, 0.665], [0.336, 0.336, 0.172], [0.664, 0.664, 0.828], [0.665, 0.665, 0.335], [0.166, 0.166, 0.335], [0.169, 0.169, 0.833], [0.500, 0.500, 0.000], [0.831, 0.831, 0.167], [0.834, 0.834, 0.665]]
}

11.
{
  "formula": "Al2OsRu",
  "functional": "PBE",
  "state": "optimized geometry",
  "n_ef_per_ev_cell": 11.3,
  "magnetic_moment_mub_per_atom": 0.00,
  "crystal_system": "tetragonal",
  "formation_energy_mev_per_atom": 340,
  "lattice_angstrom": [[-3.319, 3.319, 2.807], [3.319, -3.319, 2.807], [3.319, 3.319, -2.807]],
  "species": ["Al", "Al", "Al", "Al", "Os", "Os", "Ru", "Ru"],
  "fractional_positions": [[0.122, 0.625, 0.997], [0.375, 0.372, 0.497], [0.628, 0.125, 0.003], [0.875, 0.878, 0.503], [0.250, 0.750, 0.500], [0.500, 0.500, 0.000], [0.000, 0.000, 0.000], [0.750, 0.250, 0.500]]
}

12.
{
  "formula": "Pm2YHo",
  "functional": "PBE",
  "state": "optimized geometry",
  "n_ef_per_ev_cell": 14.3,
  "magnetic_moment_mub_per_atom": 0.00,
  "crystal_system": "orthorhombic",
  "formation_energy_mev_per_atom": 19,
  "relative_energy_kj_per_mol_atoms": 0.68,
  "lattice_angstrom": [[5.762, 0.000, 0.000], [0.000, 7.345, 0.000], [0.000, 0.000, 6.331]],
  "species": ["Pm", "Pm", "Pm", "Pm", "Y", "Y", "Ho", "Ho"],
  "fractional_positions": [[0.250, 0.000, 0.168], [0.250, 0.500, 0.168], [0.750, 0.000, 0.832], [0.750, 0.500, 0.832], [0.250, 0.250, 0.664], [0.750, 0.750, 0.336], [0.250, 0.750, 0.667], [0.750, 0.250, 0.333]]
}